Below is an optimized crystal structure of KZrIn2, with properties calculated at the PBE level.

Calculated formation energy = 0.05 eV per atom
Offset from the most stable computed form = 0.52 eV per formula unit

Cell lengths 3.175, 5.739, 5.741 Å; angles 90.00, 90.00, 90.00 degrees
Space group Pmm2 (No. 25)
Symmetry-distinct sites (fractional):
K (0.000, 0.000, 0.000) [1 per cell]
Zr (0.000, 0.500, 0.499) [1 per cell]
In (0.500, 0.000, 0.500) [1 per cell]
In (0.500, 0.500, 0.999) [1 per cell]


Below is an optimized crystal structure of KZrIn2, with properties calculated at the PBE level.

Calculated formation energy = 0.26 eV per atom
Offset from the most stable computed form = 1.36 eV per formula unit

Cell lengths 7.565, 7.565, 7.565 Å; angles 90.00, 90.00, 90.00 degrees
Space group Fm-3m (No. 225)
Symmetry-distinct sites (fractional):
K (0.000, 0.000, 0.000) [4 per cell]
Zr (0.000, 0.000, 0.500) [4 per cell]
In (0.250, 0.250, 0.250) [8 per cell]


Below is an optimized crystal structure of KZr2In, with properties calculated at the PBE level.

Calculated formation energy = 0.53 eV per atom

Cell lengths 3.151, 6.033, 11.637 Å; angles 90.00, 90.00, 90.00 degrees
Space group Imm2 (No. 44)
Symmetry-distinct sites (fractional):
K (0.000, 0.000, 0.000) [2 per cell]
Zr (0.000, 0.000, 0.499) [2 per cell]
Zr (0.000, 0.500, 0.786) [2 per cell]
In (0.000, 0.500, 0.237) [2 per cell]


Below is an optimized crystal structure of K2ZrIn, with properties calculated at the PBE level.

Calculated formation energy = 0.56 eV per atom

Cell lengths 3.4117, 3.4117, 39.4073 Å; angles 90.00, 90.00, 120.00 degrees
Space group R-3m (No. 166, hexagonal axes)
Symmetry-distinct sites (fractional):
K (0.0000, 0.0000, 0.2463) [6 per cell]
Zr (0.0000, 0.0000, 0.0000) [3 per cell]
In (0.0000, 0.0000, 0.5000) [3 per cell]


Below is an optimized crystal structure of KZr2In, with properties calculated at the PBE level.

Calculated formation energy = 0.58 eV per atom

Cell lengths 4.689, 4.689, 4.630 Å; angles 90.00, 90.00, 90.00 degrees
Space group P4/mmm (No. 123)
Symmetry-distinct sites (fractional):
K (0.000, 0.000, 0.000) [1 per cell]
Zr (0.000, 0.500, 0.500) [2 per cell]
In (0.500, 0.500, 0.000) [1 per cell]


Below is an optimized crystal structure of K2ZrIn, with properties calculated at the PBE level.

Calculated formation energy = 0.41 eV per atom

Cell lengths 10.116, 3.293, 9.442 Å; angles 90.00, 93.25, 90.00 degrees
Space group Cm (No. 8)
Symmetry-distinct sites (fractional):
K (0.000, 0.000, 0.000) [2 per cell]
K (0.233, 0.000, 0.633) [2 per cell]
Zr (0.471, 0.000, 0.364) [2 per cell]
In (0.237, 0.500, 0.251) [2 per cell]


Below is an optimized crystal structure of KZrIn2, with properties calculated at the PBE level.

Calculated formation energy = -0.06 eV per atom
Offset from the most stable computed form = 0.08 eV per formula unit

Cell lengths 3.281, 3.281, 10.106 Å; angles 90.00, 90.00, 90.00 degrees
Space group P4/mmm (No. 123)
Symmetry-distinct sites (fractional):
K (0.000, 0.000, 0.000) [1 per cell]
Zr (0.000, 0.000, 0.500) [1 per cell]
In (0.500, 0.500, 0.286) [2 per cell]


Below is an optimized crystal structure of KZrIn2, with properties calculated at the PBE level.

Calculated formation energy = 0.36 eV per atom
Offset from the most stable computed form = 1.77 eV per formula unit

Cell lengths 4.481, 4.481, 10.896 Å; angles 90.00, 90.00, 90.00 degrees
Space group I-4m2 (No. 119)
Symmetry-distinct sites (fractional):
K (0.000, 0.000, 0.000) [2 per cell]
Zr (0.000, 0.500, 0.750) [2 per cell]
In (0.000, 0.000, 0.500) [2 per cell]
In (0.000, 0.500, 0.250) [2 per cell]